Computed, not measured: a geometry-optimized AcPr2Lu structure at the GGA-PBE level of DFT.

**V**: 146 Å³/cell
**Total magnetization**: 0.002 μB/f.u.
**Electronic total energy**: -18.0 eV per cell
**Energy of formation**: 4.45 kJ/mol of atoms
**E above lowest polymorph**: 14.8 meV per atom
**Space-group type**: P4/mmm

```
4
Lattice="3.7525 0.0000 0.0000 0.0000 3.7525 0.0000 0.0000 0.0000 10.3773" Properties=species:S:1:pos:R:3 pbc="T T T"
Ac 0.0000 0.0000 0.0000
Pr 1.8763 1.8763 2.7693
Pr 1.8763 1.8763 7.6080
Lu 0.0000 0.0000 5.1886
```